# 1
# Tb2Sm3Dy3, relaxed, DFT PBE-GGA
# ΔH_f (0 K) ... 0.018 eV/atom
# Crystal system ... orthorhombic
# ΔE to the lowest computed polymorph ... 0.000 eV/atom
# Calculated volume ... 518 Å³ per cell
data_Tb2Sm3Dy3
_cell_length_a 5.0569
_cell_length_b 5.0596
_cell_length_c 20.2442
_cell_angle_alpha 90.00
_cell_angle_beta 90.00
_cell_angle_gamma 90.00
_space_group_name_H-M_alt 'I m m m'
_space_group_IT_number 71
_space_group_name_Hall '-I 2 2'
loop_
_atom_site_label
_atom_site_type_symbol
_atom_site_fract_x
_atom_site_fract_y
_atom_site_fract_z
Tb1 Tb 0.0000 0.0000 0.2497
Sm1 Sm 0.0000 0.0000 0.0000
Sm2 Sm 0.0000 0.5000 0.3750
Dy1 Dy 0.0000 0.0000 0.5000
Dy2 Dy 0.0000 0.5000 0.1256

---

# 2
# ZnTc2Os, relaxed, DFT PBE-GGA
# ΔH_f (0 K) ... 0.196 eV/atom
# Crystal system ... orthorhombic
# Calculated volume ... 115 Å³ per cell
data_ZnTc2Os
_cell_length_a 2.9788
_cell_length_b 4.3759
_cell_length_c 8.7840
_cell_angle_alpha 90.00
_cell_angle_beta 90.00
_cell_angle_gamma 90.00
_space_group_name_H-M_alt 'I m m 2'
_space_group_IT_number 44
loop_
_space_group_symop_operation_xyz
'x,y,z'
'-x,-y,z'
'-x,y,z'
'x,-y,z'
'x+1/2,y+1/2,z+1/2'
'-x+1/2,-y+1/2,z+1/2'
'-x+1/2,y+1/2,z+1/2'
'x+1/2,-y+1/2,z+1/2'
loop_
_atom_site_label
_atom_site_type_symbol
_atom_site_fract_x
_atom_site_fract_y
_atom_site_fract_z
Zn1 Zn 0.0000 0.0000 0.0000
Tc1 Tc 0.0000 0.0000 0.4989
Tc2 Tc 0.0000 0.5000 0.2517
Os1 Os 0.0000 0.5000 0.7458

---

# 3
# PuAlCd, relaxed, DFT PBE-GGA
# ΔH_f (0 K) ... 0.156 eV/atom
# Crystal system ... monoclinic
# Calculated volume ... 252 Å³ per cell
data_PuAlCd
_cell_length_a 11.5387
_cell_length_b 3.2236
_cell_length_c 8.1619
_cell_angle_alpha 90.00
_cell_angle_beta 123.75
_cell_angle_gamma 90.00
_space_group_name_H-M_alt 'C 1 2/m 1'
_space_group_IT_number 12
loop_
_space_group_symop_operation_xyz
'x,y,z'
'-x,-y,-z'
'-x,y,-z'
'x,-y,z'
'x+1/2,y+1/2,z'
'-x+1/2,-y+1/2,-z'
'-x+1/2,y+1/2,-z'
'x+1/2,-y+1/2,z'
loop_
_atom_site_label
_atom_site_type_symbol
_atom_site_fract_x
_atom_site_fract_y
_atom_site_fract_z
Pu1 Pu 0.1838 0.0000 0.3836
Al1 Al 0.1125 0.0000 0.6803
Cd1 Cd 0.1126 0.5000 0.9692

---

# 4
# Cu2PPb, relaxed, DFT PBE-GGA
# ΔH_f (0 K) ... 0.433 eV/atom
# Crystal system ... tetragonal
# Calculated volume ... 139 Å³ per cell
data_Cu2PPb
_cell_length_a 3.9510
_cell_length_b 3.9510
_cell_length_c 8.8960
_cell_angle_alpha 90.00
_cell_angle_beta 90.00
_cell_angle_gamma 90.00
_space_group_name_H-M_alt 'I -4 m 2'
_space_group_IT_number 119
_space_group_name_Hall 'I -4 -2'
loop_
_atom_site_label
_atom_site_type_symbol
_atom_site_fract_x
_atom_site_fract_y
_atom_site_fract_z
Cu1 Cu 0.0000 0.0000 0.0000
Cu2 Cu 0.0000 0.5000 0.2500
P1 P 0.0000 0.5000 0.7500
Pb1 Pb 0.0000 0.0000 0.5000

---

Across the entries above, total DFT energy (no corrections) takes the values -4.635 -8.113 -6.174 -3.895 eV/atom, respectively.